Entry 1:
Density functional theory data (GGA-PBEsol) for a geometry-optimized KCd2As structure. Values from VASP.

```
&SYSTEM
  ibrav = 0, nat = 8, ntyp = 3
/
ATOMIC_SPECIES
K 39.10 K.upf
Cd 112.41 Cd.upf
As 74.92 As.upf
ATOMIC_POSITIONS crystal
K 0.000 0.000 0.000
K 0.500 0.500 0.000
Cd 0.250 0.250 0.500
Cd 0.250 0.750 0.500
Cd 0.750 0.250 0.500
Cd 0.750 0.750 0.500
As 0.000 0.500 0.000
As 0.500 0.000 0.000
CELL_PARAMETERS angstrom
6.135 0.000 0.000
0.000 10.916 0.000
0.000 0.000 2.915
```

## Properties
Formation energy from the elements ... 0.185 eV per atom

Entry 2:
Density functional theory data (GGA-PBEsol) for a geometry-optimized Al2HIr structure. Values from VASP.

```
&SYSTEM
  ibrav = 0, nat = 16, ntyp = 3
/
ATOMIC_SPECIES
Al 26.98 Al.upf
H 1.01 H.upf
Ir 192.22 Ir.upf
ATOMIC_POSITIONS crystal
Al 0.250 0.250 0.250
Al 0.250 0.250 0.750
Al 0.250 0.750 0.250
Al 0.250 0.750 0.750
Al 0.750 0.250 0.250
Al 0.750 0.250 0.750
Al 0.750 0.750 0.250
Al 0.750 0.750 0.750
H 0.000 0.000 0.000
H 0.000 0.500 0.500
H 0.500 0.000 0.500
H 0.500 0.500 0.000
Ir 0.000 0.000 0.500
Ir 0.000 0.500 0.000
Ir 0.500 0.000 0.000
Ir 0.500 0.500 0.500
CELL_PARAMETERS angstrom
5.860 0.000 0.000
0.000 5.860 0.000
0.000 0.000 5.860
```

Entry 3:
Density functional theory data (GGA-PBEsol) for a geometry-optimized FeTcSeN2 structure. Values from VASP.

```
&SYSTEM
  ibrav = 0, nat = 5, ntyp = 4
/
ATOMIC_SPECIES
Fe 55.84 Fe.upf
Tc 98.00 Tc.upf
Se 78.96 Se.upf
N 14.01 N.upf
ATOMIC_POSITIONS crystal
Fe 0.000 0.000 0.000
Tc 0.500 0.500 0.500
Se 0.500 0.500 0.000
N 0.000 0.500 0.500
N 0.500 0.000 0.500
CELL_PARAMETERS angstrom
3.737 0.000 0.000
0.000 3.737 0.000
0.000 0.000 5.260
```

## Properties
Formation energy from raw total energies ... 0.66 eV/atom

Entry 4:
Density functional theory data (GGA-PBEsol) for a geometry-optimized ZnPtRh2 structure. Values from VASP.

```
&SYSTEM
  ibrav = 0, nat = 4, ntyp = 3
/
ATOMIC_SPECIES
Zn 65.41 Zn.upf
Pt 195.08 Pt.upf
Rh 102.91 Rh.upf
ATOMIC_POSITIONS crystal
Zn 0.000 0.000 0.000
Pt 0.500 0.500 0.251
Rh 0.000 0.000 0.514
Rh 0.500 0.500 0.753
CELL_PARAMETERS angstrom
2.719 0.000 0.000
0.000 2.719 0.000
0.000 0.000 7.478
```

## Properties
Formation energy from the elements ... -0.191 eV per atom

Entry 5:
Density functional theory data (GGA-PBEsol) for a geometry-optimized Cr3HgPd structure. Values from VASP.

```
&SYSTEM
  ibrav = 0, nat = 5, ntyp = 3
/
ATOMIC_SPECIES
Cr 52.00 Cr.upf
Hg 200.59 Hg.upf
Pd 106.42 Pd.upf
ATOMIC_POSITIONS crystal
Cr 0.000 0.000 0.500
Cr 0.000 0.500 0.000
Cr 0.500 0.000 0.000
Hg 0.000 0.000 0.000
Pd 0.500 0.500 0.500
CELL_PARAMETERS angstrom
4.923 0.000 0.000
0.000 4.923 0.000
0.000 0.000 4.923
```

## Properties
Formation energy from the elements ... 1.888 eV per atom

Entry 6:
Density functional theory data (GGA-PBEsol) for a geometry-optimized Nb3WS8 structure. Values from VASP.

```
&SYSTEM
  ibrav = 0, nat = 12, ntyp = 3
/
ATOMIC_SPECIES
Nb 92.91 Nb.upf
W 183.84 W.upf
S 32.06 S.upf
ATOMIC_POSITIONS crystal
Nb 0.000 0.000 0.000
Nb 0.250 0.250 0.250
Nb 0.500 0.500 0.500
W 0.750 0.750 0.750
S 0.145 0.145 0.145
S 0.188 0.188 0.188
S 0.396 0.396 0.396
S 0.437 0.437 0.437
S 0.645 0.645 0.645
S 0.688 0.688 0.688
S 0.895 0.895 0.895
S 0.938 0.938 0.938
CELL_PARAMETERS angstrom
1.632 0.942 24.216
-1.632 0.942 24.216
0.000 -1.884 24.216
```

## Properties
Formation energy from raw total energies ... -1.02 eV/atom

Entry 7:
Density functional theory data (GGA-PBEsol) for a geometry-optimized Mg2ZnOs structure. Values from VASP.

```
&SYSTEM
  ibrav = 0, nat = 12, ntyp = 3
/
ATOMIC_SPECIES
Mg 24.30 Mg.upf
Zn 65.41 Zn.upf
Os 190.23 Os.upf
ATOMIC_POSITIONS crystal
Mg 0.000 0.000 0.247
Mg 0.000 0.000 0.753
Mg 0.333 0.667 0.420
Mg 0.333 0.667 0.914
Mg 0.667 0.333 0.086
Mg 0.667 0.333 0.580
Zn 0.000 0.000 0.000
Zn 0.333 0.667 0.667
Zn 0.667 0.333 0.333
Os 0.000 0.000 0.500
Os 0.333 0.667 0.167
Os 0.667 0.333 0.833
CELL_PARAMETERS angstrom
2.858 0.000 0.000
-1.429 2.475 0.000
0.000 0.000 27.217
```

## Properties
Formation energy from the elements ... 0.211 eV per atom

Entry 8:
Density functional theory data (GGA-PBEsol) for a geometry-optimized Zr2WAu structure. Values from VASP.

```
&SYSTEM
  ibrav = 0, nat = 4, ntyp = 3
/
ATOMIC_SPECIES
Zr 91.22 Zr.upf
W 183.84 W.upf
Au 196.97 Au.upf
ATOMIC_POSITIONS crystal
Zr 0.000 0.000 0.000
Zr 0.500 0.500 0.284
W 0.500 0.500 0.776
Au 0.000 0.000 0.523
CELL_PARAMETERS angstrom
3.476 0.000 0.000
0.000 3.476 0.000
0.000 0.000 6.166
```

## Properties
E above lowest polymorph ... 0.79 eV/f.u.
Formation energy from the elements ... 0.059 eV per atom

Entry 9:
Density functional theory data (GGA-PBEsol) for a geometry-optimized ReWCl2 structure. Values from VASP.

```
&SYSTEM
  ibrav = 0, nat = 12, ntyp = 3
/
ATOMIC_SPECIES
Re 186.21 Re.upf
W 183.84 W.upf
Cl 35.45 Cl.upf
ATOMIC_POSITIONS crystal
Re 0.000 0.000 0.000
Re 0.333 0.667 0.667
Re 0.667 0.333 0.333
W 0.000 0.000 0.255
W 0.333 0.667 0.922
W 0.667 0.333 0.589
Cl 0.000 0.000 0.521
Cl 0.000 0.000 0.735
Cl 0.333 0.667 0.188
Cl 0.333 0.667 0.402
Cl 0.667 0.333 0.069
Cl 0.667 0.333 0.854
CELL_PARAMETERS angstrom
2.951 0.000 0.000
-1.475 2.555 0.000
0.000 0.000 27.098
```

## Properties
Formation energy from raw total energies ... 0.03 eV/atom
E above lowest polymorph ... 0.87 eV/f.u.

Entry 10:
Density functional theory data (GGA-PBEsol) for a geometry-optimized MgSbRh2 structure. Values from VASP.

```
&SYSTEM
  ibrav = 0, nat = 12, ntyp = 3
/
ATOMIC_SPECIES
Mg 24.30 Mg.upf
Sb 121.76 Sb.upf
Rh 102.91 Rh.upf
ATOMIC_POSITIONS crystal
Mg 0.000 0.000 0.000
Mg 0.333 0.667 0.667
Mg 0.667 0.333 0.333
Sb 0.000 0.000 0.500
Sb 0.333 0.667 0.167
Sb 0.667 0.333 0.833
Rh 0.000 0.000 0.247
Rh 0.000 0.000 0.753
Rh 0.333 0.667 0.420
Rh 0.333 0.667 0.913
Rh 0.667 0.333 0.087
Rh 0.667 0.333 0.580
CELL_PARAMETERS angstrom
3.159 0.000 0.000
-1.579 2.735 0.000
0.000 0.000 23.649
```

## Properties
Formation energy from raw total energies ... -0.18 eV/atom

Entry 11:
Density functional theory data (GGA-PBEsol) for a geometry-optimized K3TlF6 structure. Values from VASP.

```
&SYSTEM
  ibrav = 0, nat = 40, ntyp = 3
/
ATOMIC_SPECIES
K 39.10 K.upf
Tl 204.38 Tl.upf
F 19.00 F.upf
ATOMIC_POSITIONS crystal
K 0.000 0.000 0.000
K 0.000 0.500 0.500
K 0.250 0.250 0.250
K 0.250 0.250 0.750
K 0.250 0.750 0.250
K 0.250 0.750 0.750
K 0.500 0.000 0.500
K 0.500 0.500 0.000
K 0.750 0.250 0.250
K 0.750 0.250 0.750
K 0.750 0.750 0.250
K 0.750 0.750 0.750
Tl 0.000 0.000 0.500
Tl 0.000 0.500 0.000
Tl 0.500 0.000 0.000
Tl 0.500 0.500 0.500
F 0.042 0.556 0.771
F 0.042 0.944 0.729
F 0.056 0.229 0.542
F 0.056 0.271 0.958
F 0.229 0.542 0.056
F 0.229 0.958 0.444
F 0.271 0.542 0.444
F 0.271 0.958 0.056
F 0.444 0.229 0.958
F 0.444 0.271 0.542
F 0.458 0.556 0.729
F 0.458 0.944 0.771
F 0.542 0.056 0.229
F 0.542 0.444 0.271
F 0.556 0.729 0.458
F 0.556 0.771 0.042
F 0.729 0.042 0.944
F 0.729 0.458 0.556
F 0.771 0.042 0.556
F 0.771 0.458 0.944
F 0.944 0.729 0.042
F 0.944 0.771 0.458
F 0.958 0.056 0.271
F 0.958 0.444 0.229
CELL_PARAMETERS angstrom
9.090 0.000 0.000
0.000 9.090 0.000
0.000 0.000 9.090
```

## Properties
Formation energy from raw total energies ... -2.45 eV/atom

Entry 12:
Density functional theory data (GGA-PBEsol) for a geometry-optimized CaInPb2 structure. Values from VASP.

```
&SYSTEM
  ibrav = 0, nat = 12, ntyp = 3
/
ATOMIC_SPECIES
Ca 40.08 Ca.upf
In 114.82 In.upf
Pb 207.20 Pb.upf
ATOMIC_POSITIONS crystal
Ca 0.000 0.000 0.000
Ca 0.333 0.667 0.667
Ca 0.667 0.333 0.333
In 0.000 0.000 0.500
In 0.333 0.667 0.167
In 0.667 0.333 0.833
Pb 0.000 0.000 0.246
Pb 0.000 0.000 0.754
Pb 0.333 0.667 0.420
Pb 0.333 0.667 0.913
Pb 0.667 0.333 0.087
Pb 0.667 0.333 0.580
CELL_PARAMETERS angstrom
3.697 0.000 0.000
-1.848 3.201 0.000
0.000 0.000 29.716
```

## Properties
Formation energy from the elements ... -0.142 eV per atom

Entry 13:
Density functional theory data (GGA-PBEsol) for a geometry-optimized Li2CdAg structure. Values from VASP.

```
&SYSTEM
  ibrav = 0, nat = 4, ntyp = 3
/
ATOMIC_SPECIES
Li 6.94 Li.upf
Cd 112.41 Cd.upf
Ag 107.87 Ag.upf
ATOMIC_POSITIONS crystal
Li 0.000 0.500 0.000
Li 0.500 0.000 0.000
Cd 0.000 0.000 0.500
Ag 0.500 0.500 0.500
CELL_PARAMETERS angstrom
4.466 0.000 0.000
0.000 4.466 0.000
0.000 0.000 3.206
```

## Properties
Formation energy from the elements ... -0.218 eV per atom

Entry 14:
Density functional theory data (GGA-PBEsol) for a geometry-optimized Y2Ni2Hg structure. Values from VASP.

```
&SYSTEM
  ibrav = 0, nat = 10, ntyp = 3
/
ATOMIC_SPECIES
Y 88.91 Y.upf
Ni 58.69 Ni.upf
Hg 200.59 Hg.upf
ATOMIC_POSITIONS crystal
Y 0.000 0.500 0.250
Y 0.000 0.500 0.750
Y 0.500 0.000 0.250
Y 0.500 0.000 0.750
Ni 0.000 0.000 0.148
Ni 0.000 0.000 0.852
Ni 0.500 0.500 0.352
Ni 0.500 0.500 0.648
Hg 0.000 0.000 0.500
Hg 0.500 0.500 0.000
CELL_PARAMETERS angstrom
5.177 0.000 0.000
0.000 5.177 0.000
0.000 0.000 7.517
```

## Properties
Formation energy from the elements ... -0.315 eV per atom

Entry 15:
Density functional theory data (GGA-PBEsol) for a geometry-optimized ReAgCl2 structure. Values from VASP.

```
&SYSTEM
  ibrav = 0, nat = 8, ntyp = 3
/
ATOMIC_SPECIES
Re 186.21 Re.upf
Ag 107.87 Ag.upf
Cl 35.45 Cl.upf
ATOMIC_POSITIONS crystal
Re 0.000 0.000 0.000
Re 0.500 0.500 0.000
Ag 0.263 0.000 0.000
Ag 0.763 0.500 0.000
Cl 0.094 0.500 0.322
Cl 0.421 0.000 0.678
Cl 0.594 0.000 0.322
Cl 0.921 0.500 0.678
CELL_PARAMETERS angstrom
10.207 0.000 0.000
0.000 2.876 0.000
-2.757 0.000 5.812
```

## Properties
Formation energy from raw total energies ... 0.25 eV/atom
E above lowest polymorph ... 0.00 eV/f.u.

Entry 16:
Density functional theory data (GGA-PBEsol) for a geometry-optimized Tb7CoI12 structure. Values from VASP.

```
&SYSTEM
  ibrav = 0, nat = 20, ntyp = 3
/
ATOMIC_SPECIES
Tb 158.93 Tb.upf
Co 58.93 Co.upf
I 126.90 I.upf
ATOMIC_POSITIONS crystal
Tb 0.000 0.000 0.000
Tb 0.205 0.404 0.475
Tb 0.404 0.475 0.205
Tb 0.475 0.205 0.404
Tb 0.525 0.795 0.596
Tb 0.596 0.525 0.795
Tb 0.795 0.596 0.525
Co 0.500 0.500 0.500
I 0.029 0.344 0.111
I 0.111 0.029 0.344
I 0.175 0.730 0.572
I 0.270 0.428 0.825
I 0.344 0.111 0.029
I 0.428 0.825 0.270
I 0.572 0.175 0.730
I 0.656 0.889 0.971
I 0.730 0.572 0.175
I 0.825 0.270 0.428
I 0.889 0.971 0.656
I 0.971 0.656 0.889
CELL_PARAMETERS angstrom
7.612 4.395 3.528
-7.612 4.395 3.528
0.000 -8.790 3.528
```

## Properties
Formation energy from raw total energies ... -1.21 eV/atom

Entry 17:
Density functional theory data (GGA-PBEsol) for a geometry-optimized LaMgFe2 structure. Values from VASP.

```
&SYSTEM
  ibrav = 0, nat = 4, ntyp = 3
/
ATOMIC_SPECIES
La 138.91 La.upf
Mg 24.30 Mg.upf
Fe 55.84 Fe.upf
ATOMIC_POSITIONS crystal
La 0.000 0.000 0.000
Mg 0.000 0.000 0.500
Fe 0.500 0.500 0.321
Fe 0.500 0.500 0.679
CELL_PARAMETERS angstrom
3.405 0.000 0.000
0.000 3.405 0.000
0.000 0.000 6.368
```

## Properties
Formation energy from the elements ... 0.389 eV per atom

Entry 18:
Density functional theory data (GGA-PBEsol) for a geometry-optimized HSe2S structure. Values from VASP.

```
&SYSTEM
  ibrav = 0, nat = 12, ntyp = 3
/
ATOMIC_SPECIES
H 1.01 H.upf
Se 78.96 Se.upf
S 32.06 S.upf
ATOMIC_POSITIONS crystal
H 0.000 0.000 0.000
H 0.333 0.667 0.667
H 0.667 0.333 0.333
Se 0.000 0.000 0.389
Se 0.000 0.000 0.611
Se 0.333 0.667 0.056
Se 0.333 0.667 0.277
Se 0.667 0.333 0.723
Se 0.667 0.333 0.944
S 0.000 0.000 0.500
S 0.333 0.667 0.167
S 0.667 0.333 0.833
CELL_PARAMETERS angstrom
3.416 0.000 0.000
-1.708 2.958 0.000
0.000 0.000 20.335
```

Entry 19:
Density functional theory data (GGA-PBEsol) for a geometry-optimized Ag2MoW structure. Values from VASP.

```
&SYSTEM
  ibrav = 0, nat = 16, ntyp = 3
/
ATOMIC_SPECIES
Ag 107.87 Ag.upf
Mo 95.94 Mo.upf
W 183.84 W.upf
ATOMIC_POSITIONS crystal
Ag 0.000 0.000 0.000
Ag 0.000 0.500 0.500
Ag 0.250 0.250 0.250
Ag 0.250 0.750 0.750
Ag 0.500 0.000 0.500
Ag 0.500 0.500 0.000
Ag 0.750 0.250 0.750
Ag 0.750 0.750 0.250
Mo 0.250 0.250 0.750
Mo 0.250 0.750 0.250
Mo 0.750 0.250 0.250
Mo 0.750 0.750 0.750
W 0.000 0.000 0.500
W 0.000 0.500 0.000
W 0.500 0.000 0.000
W 0.500 0.500 0.500
CELL_PARAMETERS angstrom
6.359 0.000 0.000
0.000 6.359 0.000
0.000 0.000 6.359
```

## Properties
E above lowest polymorph ... 0.71 eV/f.u.
Formation energy from the elements ... 0.741 eV per atom

Entry 20:
Density functional theory data (GGA-PBEsol) for a geometry-optimized BaAl3Br structure. Values from VASP.

```
&SYSTEM
  ibrav = 0, nat = 5, ntyp = 3
/
ATOMIC_SPECIES
Ba 137.33 Ba.upf
Al 26.98 Al.upf
Br 79.90 Br.upf
ATOMIC_POSITIONS crystal
Ba 0.000 0.000 0.000
Al 0.000 0.000 0.500
Al 0.000 0.500 0.000
Al 0.500 0.000 0.000
Br 0.500 0.500 0.500
CELL_PARAMETERS angstrom
6.140 0.000 0.000
0.000 6.140 0.000
0.000 0.000 6.140
```

## Properties
Formation energy from raw total energies ... 1.29 eV/atom

Per-record total magnetic moment, μB/cell: 0.000; 0.006; 3.456; 0.004; 12.820; 0.002; 0.003; 0.000; 0.001; 0.001; 0.004; 0.000; 0.000; 0.000; 0.487; 0.001; 3.992; 0.000; 0.001; 0.002
Per-record final energy, eV/atom: -1.97; -5.35; -7.57; -6.40; -5.56; -7.80; -4.10; -8.92; -7.75; -5.82; -4.21; -3.42; -2.33; -5.62; -4.91; -4.41; -5.86; -3.18; -7.31; -1.97